A plane-wave DFT calculation with PBE was carried out for a relaxed structure of Fe2NCl. Values from VASP.

The structure in Quantum ESPRESSO input format:
```
&SYSTEM
  ibrav = 0, nat = 8, ntyp = 3
/
ATOMIC_SPECIES
Fe 55.84 Fe.upf
N 14.01 N.upf
Cl 35.45 Cl.upf
CELL_PARAMETERS angstrom
-2.309 2.309 4.706
2.309 -2.309 4.706
2.309 2.309 -4.706
ATOMIC_POSITIONS crystal
Fe 0.039 0.625 0.914
Fe 0.375 0.289 0.414
Fe 0.711 0.125 0.086
Fe 0.875 0.961 0.586
N 0.000 0.000 0.000
N 0.750 0.250 0.500
Cl 0.250 0.750 0.500
Cl 0.500 0.500 0.000
```

Properties
SG   I-42d, No. 122
Formation energy from raw total energies   0.457 eV/f.u.
Fermi-level density of states   4.5 states/eV/cell
Spin magnetization   0.000 μB/cell
Energy above the lowest structure with this stoichiometry   0 meV per atom

=====

A plane-wave DFT calculation with PBE was carried out for a relaxed structure of Pa3V2Ge4. Values from VASP.

The structure in Quantum ESPRESSO input format:
```
&SYSTEM
  ibrav = 0, nat = 9, ntyp = 3
/
ATOMIC_SPECIES
Pa 231.04 Pa.upf
V 50.94 V.upf
Ge 72.64 Ge.upf
CELL_PARAMETERS angstrom
5.390 -2.182 0.000
5.390 2.182 0.000
-2.275 0.000 7.633
ATOMIC_POSITIONS crystal
Pa 0.000 0.000 0.000
Pa 0.377 0.377 0.300
Pa 0.623 0.623 0.700
V 0.309 0.309 0.600
V 0.691 0.691 0.400
Ge 0.078 0.078 0.395
Ge 0.295 0.295 0.908
Ge 0.705 0.705 0.092
Ge 0.922 0.922 0.605
```

Properties
SG   C2/m, No. 12
Energy of formation from the pure elements   -3.22 eV per formula unit
Fermi-level density of states   11.9 states/eV/cell
Spin magnetization   0.000 μB/cell

=====

A plane-wave DFT calculation with PBE was carried out for a relaxed structure of RbMnCrSe4. Values from VASP.

The structure in Quantum ESPRESSO input format:
```
&SYSTEM
  ibrav = 0, nat = 14, ntyp = 4
/
ATOMIC_SPECIES
Rb 85.47 Rb.upf
Mn 54.94 Mn.upf
Cr 52.00 Cr.upf
Se 78.96 Se.upf
CELL_PARAMETERS angstrom
6.378 0.000 0.000
0.000 6.645 0.000
-0.558 0.000 8.696
ATOMIC_POSITIONS crystal
Rb 0.235 0.250 0.035
Rb 0.765 0.750 0.965
Mn 0.321 0.250 0.602
Mn 0.679 0.750 0.398
Cr 0.169 0.750 0.473
Cr 0.831 0.250 0.527
Se 0.062 0.000 0.676
Se 0.062 0.500 0.676
Se 0.367 0.750 0.229
Se 0.490 0.750 0.627
Se 0.510 0.250 0.373
Se 0.633 0.250 0.771
Se 0.938 0.000 0.324
Se 0.938 0.500 0.324
```

Properties
SG   P2_1/m, No. 11
Formation energy from raw total energies   -3.523 eV/f.u.
Fermi-level density of states   4.4 states/eV/cell
Spin magnetization   3.879 μB/cell

=====

A plane-wave DFT calculation with PBE was carried out for a relaxed structure of Tm4Te2AsPt. Values from VASP.

The structure in Quantum ESPRESSO input format:
```
&SYSTEM
  ibrav = 0, nat = 8, ntyp = 4
/
ATOMIC_SPECIES
Tm 168.93 Tm.upf
Te 127.60 Te.upf
As 74.92 As.upf
Pt 195.08 Pt.upf
CELL_PARAMETERS angstrom
7.328 0.000 0.000
0.000 4.123 0.000
-2.390 0.000 6.995
ATOMIC_POSITIONS crystal
Tm 0.227 0.000 0.207
Tm 0.258 0.500 0.783
Tm 0.742 0.500 0.217
Tm 0.773 0.000 0.793
Te 0.000 0.000 0.500
Te 0.500 0.500 0.500
As 0.500 0.000 0.000
Pt 0.000 0.500 0.000
```

Properties
SG   P2/m, No. 10
Formation energy from raw total energies   -10.520 eV/f.u.
Fermi-level density of states   4.9 states/eV/cell
Spin magnetization   0.000 μB/cell